Record 1
The following is a GGA-PBE calculation of crystalline ScTlAg2 at its relaxed geometry, from the Alexandria database.

Cell: 4.380 4.380 4.352 Å, 90.00 90.00 90.00°
Space group P4/mmm (No. 123)
One atom of each set of equivalent atoms:
Sc 0.000 0.000 0.000
Tl 0.500 0.500 0.000
Ag 0.000 0.500 0.500

**Magnetization**: 0.000 μB/cell
**VASP energy**: -3.6922 eV per atom
**Formation energy**: -36 kJ/mol of formula units
**Density of states at the Fermi level**: 0.725 states/eV per atom


Record 2
The following is a GGA-PBE calculation of crystalline Na2ScIr2 at its relaxed geometry, from the Alexandria database.

Cell: 3.563 3.563 14.754 Å, 90.00 90.00 90.00°
Space group I4/mmm (No. 139)
One atom of each set of equivalent atoms:
Na 0.000 0.500 0.250
Sc 0.000 0.000 0.000
Ir 0.000 0.000 0.410

**Magnetization**: 0.000 μB/cell
**VASP energy**: -5.0327 eV per atom
**Formation energy**: 147 kJ/mol of formula units
**Density of states at the Fermi level**: 1.440 states/eV per atom


Record 3
The following is a GGA-PBE calculation of crystalline Sr2YMgAu6 at its relaxed geometry, from the Alexandria database.

Cell: 5.741 5.778 8.350 Å, 105.78 105.01 99.25°
Space group P-1 (No. 2)
One atom of each set of equivalent atoms:
Sr 0.030 0.305 0.207
Y 0.500 0.000 0.500
Mg 0.500 0.500 0.000
Au 0.072 0.162 0.682
Au 0.397 0.537 0.637
Au 0.428 0.954 0.139

**Magnetization**: 0.000 μB/cell
**VASP energy**: -3.7420 eV per atom
**Formation energy**: -611 kJ/mol of formula units
**Density of states at the Fermi level**: 0.472 states/eV per atom


Record 4
The following is a GGA-PBE calculation of crystalline PaRe3Si2 at its relaxed geometry, from the Alexandria database.

Cell: 14.996 4.176 7.406 Å, 90.00 118.93 90.00°
Space group C2/m (No. 12)
One atom of each set of equivalent atoms:
Pa 0.146 0.000 0.057
Re 0.044 0.000 0.381
Re 0.094 0.500 0.675
Re 0.202 0.500 0.473
Si 0.023 0.500 0.179
Si 0.198 0.000 0.726

**Magnetization**: 0.000 μB/cell
**Raw formation energy**: -0.380 eV per atom
**VASP energy**: -9.9940 eV per atom
**Density of states at the Fermi level**: 0.586 states/eV per atom


Record 5
The following is a GGA-PBE calculation of crystalline Nd2TmPb at its relaxed geometry, from the Alexandria database.

Cell: 3.5104 3.5104 36.7263 Å, 90.00 90.00 120.00°
Space group R-3m (No. 166, hexagonal axes)
One atom of each set of equivalent atoms:
Nd 0.0000 0.0000 0.0911
Tm 0.0000 0.0000 0.0000
Pb 0.0000 0.0000 0.5000

**Magnetization**: 0.001 μB/cell
**VASP energy**: -4.3642 eV per atom
**Formation energy**: 25 kJ/mol of formula units
**Density of states at the Fermi level**: 1.707 states/eV per atom


Record 6
The following is a GGA-PBE calculation of crystalline Ca2GaAu2 at its relaxed geometry, from the Alexandria database.

Cell: 11.236 4.357 11.008 Å, 90.00 117.54 90.00°
Space group C2/m (No. 12)
One atom of each set of equivalent atoms:
Ca 0.000 0.000 0.166
Ca 0.188 0.000 0.608
Ga 0.212 0.500 0.853
Au 0.025 0.500 0.381
Au 0.147 0.500 0.069

**Magnetization**: 0.000 μB/cell
**VASP energy**: -3.4314 eV per atom
**Formation energy**: -345 kJ/mol of formula units
**Density of states at the Fermi level**: 0.479 states/eV per atom


Record 7
The following is a GGA-PBE calculation of crystalline Sr3TbTm3S8 at its relaxed geometry, from the Alexandria database.

Cell: 7.9296 7.9296 20.4842 Å, 90.00 90.00 120.00°
Space group R-3m (No. 166, hexagonal axes)
One atom of each set of equivalent atoms:
Sr 0.0000 0.5000 0.0000
Tb 0.0000 0.0000 0.5000
Tm 0.0000 0.5000 0.5000
S 0.0000 0.0000 0.2414
S 0.0044 0.5022 0.7592

**Magnetization**: 0.000 μB/cell
**Raw formation energy**: -2.072 eV per atom
**VASP energy**: -5.8123 eV per atom
**Density of states at the Fermi level**: 0.306 states/eV per atom


Record 8
The following is a GGA-PBE calculation of crystalline Al2In2Cl at its relaxed geometry, from the Alexandria database.

Cell: 8.012 8.012 3.700 Å, 90.00 90.00 90.00°
Space group P4/mbm (No. 127)
One atom of each set of equivalent atoms:
Al 0.118 0.382 0.000
In 0.186 0.686 0.500
Cl 0.000 0.000 0.000

**Magnetization**: 0.000 μB/cell
**Raw formation energy**: -0.015 eV per atom
**VASP energy**: -2.9764 eV per atom
**Density of states at the Fermi level**: 0.387 states/eV per atom


Record 9
The following is a GGA-PBE calculation of crystalline PbI2O2 at its relaxed geometry, from the Alexandria database.

Cell: 4.302 4.302 7.785 Å, 90.00 90.00 90.00°
Space group P4/mmm (No. 123)
One atom of each set of equivalent atoms:
Pb 0.000 0.000 0.000
I 0.500 0.500 0.000
I 0.500 0.500 0.500
O 0.000 0.500 0.500

**Magnetization**: 0.000 μB/cell
**Raw formation energy**: 0.132 eV per atom
**VASP energy**: -3.2130 eV per atom
**Density of states at the Fermi level**: 0.575 states/eV per atom


Record 10
The following is a GGA-PBE calculation of crystalline La3ZrNi at its relaxed geometry, from the Alexandria database.

Cell: 5.636 5.636 5.636 Å, 90.00 90.00 90.00°
Space group Pm-3m (No. 221)
One atom of each set of equivalent atoms:
La 0.000 0.000 0.500
Zr 0.000 0.000 0.000
Ni 0.500 0.500 0.500

**Magnetization**: 0.000 μB/cell
**VASP energy**: -4.9839 eV per atom
**Formation energy**: 405 kJ/mol of formula units
**Density of states at the Fermi level**: 1.639 states/eV per atom


Record 11
The following is a GGA-PBE calculation of crystalline CaCr2Se at its relaxed geometry, from the Alexandria database.

Cell: 4.156 4.156 9.484 Å, 90.00 90.00 90.00°
Space group I-4m2 (No. 119)
One atom of each set of equivalent atoms:
Ca 0.000 0.000 0.000
Cr 0.000 0.000 0.500
Cr 0.000 0.500 0.750
Se 0.000 0.500 0.250

**Magnetization**: 16.056 μB/cell
**Raw formation energy**: 0.345 eV per atom
**VASP energy**: -5.8382 eV per atom
**Density of states at the Fermi level**: 0.397 states/eV per atom


Record 12
The following is a GGA-PBE calculation of crystalline PaCuOs at its relaxed geometry, from the Alexandria database.

Cell: 4.3367 4.3367 3.4115 Å, 90.00 90.00 120.00°
Space group P-6m2 (No. 187)
One atom of each set of equivalent atoms:
Pa 0.0000 0.0000 0.0000
Cu 0.3333 0.6667 0.5000
Os 0.6667 0.3333 0.5000

**Magnetization**: 0.000 μB/cell
**VASP energy**: -8.2677 eV per atom
**Formation energy**: 2 kJ/mol of formula units
**Density of states at the Fermi level**: 1.245 states/eV per atom


Record 13
The following is a GGA-PBE calculation of crystalline BeRePS2 at its relaxed geometry, from the Alexandria database.

Cell: 4.484 4.484 5.033 Å, 90.00 90.00 90.00°
Space group P4/mmm (No. 123)
One atom of each set of equivalent atoms:
Be 0.000 0.000 0.000
Re 0.500 0.500 0.500
P 0.500 0.500 0.000
S 0.000 0.500 0.500

**Magnetization**: 0.000 μB/cell
**Raw formation energy**: 0.880 eV per atom
**VASP energy**: -5.0882 eV per atom
**Density of states at the Fermi level**: 0.630 states/eV per atom


Record 14
The following is a GGA-PBE calculation of crystalline CaSc2Au at its relaxed geometry, from the Alexandria database.

Cell: 7.135 7.135 7.135 Å, 90.00 90.00 90.00°
Space group Fm-3m (No. 225)
One atom of each set of equivalent atoms:
Ca 0.000 0.000 0.000
Sc 0.250 0.250 0.250
Au 0.000 0.000 0.500

**Magnetization**: 3.458 μB/cell
**VASP energy**: -4.6180 eV per atom
**Formation energy**: -51 kJ/mol of formula units
**Density of states at the Fermi level**: 1.299 states/eV per atom


Record 15
The following is a GGA-PBE calculation of crystalline AcSc3 at its relaxed geometry, from the Alexandria database.

Cell: 3.567 5.491 5.893 Å, 90.00 90.00 90.00°
Space group Pmm2 (No. 25)
One atom of each set of equivalent atoms:
Ac 0.000 0.000 0.000
Sc 0.000 0.500 0.645
Sc 0.500 0.000 0.493
Sc 0.500 0.500 0.168

**Magnetization**: 0.001 μB/cell
**VASP energy**: -5.6322 eV per atom
**Formation energy**: 55 kJ/mol of formula units
**Density of states at the Fermi level**: 1.823 states/eV per atom


Record 16
The following is a GGA-PBE calculation of crystalline Li2LaPm2Ge2 at its relaxed geometry, from the Alexandria database.

Cell: 4.5890 4.5890 27.8768 Å, 90.00 90.00 120.00°
Space group R-3m (No. 166, hexagonal axes)
One atom of each set of equivalent atoms:
Li 0.0000 0.0000 0.0945
La 0.0000 0.0000 0.5000
Pm 0.0000 0.0000 0.3716
Ge 0.0000 0.0000 0.2391

**Magnetization**: 0.000 μB/cell
**VASP energy**: -4.4256 eV per atom
**Formation energy**: -337 kJ/mol of formula units
**Density of states at the Fermi level**: 0.628 states/eV per atom


Record 17
The following is a GGA-PBE calculation of crystalline MnNiIr2 at its relaxed geometry, from the Alexandria database.

Cell: 2.746 4.609 8.708 Å, 90.00 90.00 90.00°
Space group Cmm2 (No. 35)
One atom of each set of equivalent atoms:
Mn 0.000 0.000 0.000
Ni 0.000 0.500 0.771
Ir 0.000 0.000 0.520
Ir 0.000 0.500 0.247

**Magnetization**: 8.491 μB/cell
**VASP energy**: -7.9459 eV per atom
**Formation energy**: 86 kJ/mol of formula units
**Density of states at the Fermi level**: 1.572 states/eV per atom


Record 18
The following is a GGA-PBE calculation of crystalline YMgGaCo at its relaxed geometry, from the Alexandria database.

Cell: 6.686 6.686 6.686 Å, 90.00 90.00 90.00°
Space group F-43m (No. 216)
One atom of each set of equivalent atoms:
Y 0.000 0.000 0.000
Mg 0.000 0.000 0.500
Ga 0.250 0.250 0.750
Co 0.250 0.250 0.250

**Magnetization**: 4.250 μB/cell
**VASP energy**: -4.7266 eV per atom
**Formation energy**: -69 kJ/mol of formula units
**Density of states at the Fermi level**: 0.455 states/eV per atom


Record 19
The following is a GGA-PBE calculation of crystalline AcSiCl at its relaxed geometry, from the Alexandria database.

Cell: 7.363 4.317 11.619 Å, 90.00 92.37 90.00°
Space group C2/m (No. 12)
One atom of each set of equivalent atoms:
Ac 0.010 0.000 0.185
Si 0.167 0.500 0.994
Cl 0.185 0.500 0.339

**Magnetization**: 0.000 μB/cell
**Raw formation energy**: -1.405 eV per atom
**VASP energy**: -5.1981 eV per atom
**Density of states at the Fermi level**: 0.205 states/eV per atom


Record 20
The following is a GGA-PBE calculation of crystalline CsKUN3 at its relaxed geometry, from the Alexandria database.

Cell: 6.696 13.506 6.179 Å, 90.00 94.84 90.00°
Space group C2/c (No. 15)
One atom of each set of equivalent atoms:
Cs 0.000 0.243 0.250
K 0.000 0.084 0.750
U 0.000 0.444 0.750
N 0.000 0.300 0.750
N 0.189 0.466 0.522

**Magnetization**: 0.000 μB/cell
**Raw formation energy**: -0.485 eV per atom
**VASP energy**: -6.8538 eV per atom
**Density of states at the Fermi level**: 0.926 states/eV per atom


Record 21
The following is a GGA-PBE calculation of crystalline HfCu at its relaxed geometry, from the Alexandria database.

Cell: 4.1482 4.1482 14.6156 Å, 90.00 90.00 120.00°
Space group R-3m (No. 166, hexagonal axes)
One atom of each set of equivalent atoms:
Hf 0.0000 0.0000 0.0969
Cu 0.0000 0.0000 0.3167

**Magnetization**: 0.000 μB/cell
**VASP energy**: -6.9144 eV per atom
**Formation energy**: 21 kJ/mol of formula units
**Density of states at the Fermi level**: 0.620 states/eV per atom


Record 22
The following is a GGA-PBE calculation of crystalline YBePt3 at its relaxed geometry, from the Alexandria database.

Cell: 5.889 10.199 5.514 Å, 90.00 90.00 90.00°
Space group Cmc2_1 (No. 36)
One atom of each set of equivalent atoms:
Y 0.000 0.167 0.000
Be 0.000 0.499 0.750
Pt 0.000 0.323 0.499
Pt 0.235 0.089 0.501

**Magnetization**: 0.000 μB/cell
**VASP energy**: -6.6055 eV per atom
**Formation energy**: -455 kJ/mol of formula units
**Density of states at the Fermi level**: 0.346 states/eV per atom


Record 23
The following is a GGA-PBE calculation of crystalline Ca3Cd2Hg7 at its relaxed geometry, from the Alexandria database.

Cell: 4.846 4.261 15.770 Å, 90.00 98.36 90.00°
Space group P2/m (No. 10)
One atom of each set of equivalent atoms:
Ca 0.000 0.000 0.000
Ca 0.312 0.500 0.631
Cd 0.147 0.000 0.275
Hg 0.079 0.500 0.147
Hg 0.228 0.000 0.453
Hg 0.410 0.000 0.837
Hg 0.500 0.500 0.000

**Magnetization**: 0.000 μB/cell
**VASP energy**: -1.1144 eV per atom
**Formation energy**: -330 kJ/mol of formula units
**Density of states at the Fermi level**: 0.475 states/eV per atom


Record 24
The following is a GGA-PBE calculation of crystalline MnZnW2 at its relaxed geometry, from the Alexandria database.

Cell: 3.223 4.329 8.511 Å, 90.00 90.00 90.00°
Space group Cmm2 (No. 35)
One atom of each set of equivalent atoms:
Mn 0.000 0.000 0.000
Zn 0.000 0.500 0.237
W 0.000 0.000 0.498
W 0.000 0.500 0.763

**Magnetization**: 4.137 μB/cell
**VASP energy**: -8.9229 eV per atom
**Formation energy**: 64 kJ/mol of formula units
**Density of states at the Fermi level**: 0.774 states/eV per atom


Record 25
The following is a GGA-PBE calculation of crystalline Sm3TmSb4 at its relaxed geometry, from the Alexandria database.

Cell: 6.274 6.274 6.274 Å, 90.00 90.00 90.00°
Space group Pm-3m (No. 221)
One atom of each set of equivalent atoms:
Sm 0.000 0.000 0.500
Tm 0.500 0.500 0.500
Sb 0.000 0.000 0.000
Sb 0.000 0.500 0.500

**Magnetization**: 0.000 μB/cell
**Raw formation energy**: -1.146 eV per atom
**VASP energy**: -5.5355 eV per atom
**Density of states at the Fermi level**: 0.058 states/eV per atom


Record 26
The following is a GGA-PBE calculation of crystalline NaPrZn2H8 at its relaxed geometry, from the Alexandria database.

Cell: 4.7358 4.7358 7.4975 Å, 90.00 90.00 120.00°
Space group P-3 (No. 147)
One atom of each set of equivalent atoms:
Na 0.0000 0.0000 0.0000
Pr 0.0000 0.0000 0.5000
Zn 0.3333 0.6667 0.2765
H 0.0343 0.3052 0.2332
H 0.3333 0.6667 0.5043

**Magnetization**: 0.000 μB/cell
**VASP energy**: -3.1166 eV per atom
**Density of states at the Fermi level**: 0.000 states/eV per atom